Computed, not measured: a relaxed structure of Ba8TeP3Br4 at the GGA-PBE level of DFT.

a = 9.5454 Å, b = 9.5454 Å, c = 23.7134 Å
α = 90.00°, β = 90.00°, γ = 120.00°
Space group R-3m (No. 166, hexagonal axes)
One atom of each set of equivalent atoms:
Ba: 0.0000 0.0000 0.2387 (multiplicity 6)
Ba: 0.0178 0.5089 0.7599 (multiplicity 18)
Te: 0.0000 0.0000 0.5000 (multiplicity 3)
P: 0.0000 0.5000 0.5000 (multiplicity 9)
Br: 0.0000 0.0000 0.0000 (multiplicity 3)
Br: 0.0000 0.5000 0.0000 (multiplicity 9)

## Properties
Formation energy (no corrections), meV per atom: -1601
Theoretical density, g/cm3: 4.36
Final energy, eV per atom: -4.1911

---

Computed, not measured: a relaxed structure of BaTePBr2 at the GGA-PBE level of DFT.

a = 5.2803 Å, b = 5.2803 Å, c = 5.6058 Å
α = 90.00°, β = 90.00°, γ = 90.00°
Space group P4/mmm (No. 123)
One atom of each set of equivalent atoms:
Ba: 0.0000 0.0000 0.0000 (multiplicity 1)
Te: 0.5000 0.5000 0.0000 (multiplicity 1)
P: 0.5000 0.5000 0.5000 (multiplicity 1)
Br: 0.0000 0.5000 0.5000 (multiplicity 2)

## Properties
Formation energy (no corrections), meV per atom: -801
Theoretical density, g/cm3: 4.84
Final energy, eV per atom: -3.5654

---

Computed, not measured: a relaxed structure of Ba6Te2PBr3 at the GGA-PBE level of DFT.

a = 8.4395 Å, b = 14.5830 Å, c = 8.2826 Å
α = 90.00°, β = 109.84°, γ = 90.00°
Space group C2/m (No. 12)
One atom of each set of equivalent atoms:
Ba: 0.2320 0.0000 0.2662 (multiplicity 4)
Ba: 0.2332 0.1554 0.7335 (multiplicity 8)
Te: 0.0000 0.3335 0.5000 (multiplicity 4)
P: 0.0000 0.0000 0.5000 (multiplicity 2)
Br: 0.0000 0.1708 0.0000 (multiplicity 4)
Br: 0.0000 0.5000 0.0000 (multiplicity 2)

## Properties
Formation energy (no corrections), meV per atom: -1665
Theoretical density, g/cm3: 4.68
Final energy, eV per atom: -4.0188

---

Computed, not measured: a relaxed structure of Ba6TlP2Br3 at the GGA-PBE level of DFT.

a = 21.4016 Å, b = 4.7053 Å, c = 9.9775 Å
α = 90.00°, β = 103.71°, γ = 90.00°
Space group C2/m (No. 12)
One atom of each set of equivalent atoms:
Ba: 0.0150 0.0000 0.2592 (multiplicity 4)
Ba: 0.1670 0.5000 0.1189 (multiplicity 4)
Ba: 0.1771 0.5000 0.5647 (multiplicity 4)
Tl: 0.0000 0.5000 0.0000 (multiplicity 2)
P: 0.1688 0.0000 0.3412 (multiplicity 4)
Br: 0.0000 0.5000 0.5000 (multiplicity 2)
Br: 0.1688 0.0000 0.8311 (multiplicity 4)

## Properties
Formation energy (no corrections), meV per atom: -1325
Theoretical density, g/cm3: 4.53
Final energy, eV per atom: -3.8037

---

- theoretical density of number 4 (Ba6TlP2Br3)?
  4.53 g/cm3

---

- Look up the final energy of the fourth one.
  -3.8037 eV per atom

---

- Which of these has the lowest formation energy (no corrections)?
  Ba6Te2PBr3

---

- The lowest theoretical density belongs to which entry?
  Ba8TeP3Br4